No. 1
! Cu2Re, single point on PBEsol structure, DFT SCAN; values from VASP
! Magnetization (μB/atom): 0.000
! D(E_F) (states/eV per atom): 1.0246
! Formation enthalpy at 0 K (meV per atom): 434.5
&SYSTEM
  ibrav = 0, nat = 3, ntyp = 2
/
ATOMIC_SPECIES
Cu 63.55 Cu.upf
Re 186.21 Re.upf
ATOMIC_POSITIONS angstrom
Cu 0.000 0.000 2.409
Cu 0.000 2.086 1.205
Re 1.242 0.000 0.000
CELL_PARAMETERS angstrom
2.483 0.000 0.000
0.000 4.173 0.000
0.000 -2.086 3.614



No. 2
! V12P7, single point on PBEsol structure, DFT SCAN; values from VASP
! Magnetization (μB/atom): 0.000
! D(E_F) (states/eV per atom): 0.4301
! Formation enthalpy at 0 K (meV per atom): -903.6
&SYSTEM
  ibrav = 0, nat = 19, ntyp = 2
/
ATOMIC_SPECIES
V 50.94 V.upf
P 30.97 P.upf
ATOMIC_POSITIONS angstrom
V 1.595 -2.386 5.207
V 0.000 1.861 5.364
V 0.000 5.107 6.369
V 1.595 1.290 3.309
P 1.595 3.345 6.590
P 0.000 5.733 3.950
P 0.000 2.925 2.990
V 0.000 7.569 0.371
V 1.595 6.297 2.342
P 1.595 -0.572 1.786
V 1.595 1.096 7.441
V 1.595 4.036 4.282
P 0.000 5.161 1.038
P 1.595 -2.774 7.581
V 0.000 1.144 1.238
V 0.000 -0.970 6.909
P 1.595 0.000 5.319
V 1.595 3.486 1.354
V 0.000 -0.892 3.684
CELL_PARAMETERS angstrom
3.190 0.000 0.000
0.000 9.213 0.000
0.000 -4.606 7.979



No. 3
! LiPb3I, single point on PBEsol structure, DFT SCAN; values from VASP
! Magnetization (μB/atom): 0.000
! D(E_F) (states/eV per atom): 0.6093
! Raw formation energy (kJ/mol of formula units): 41
&SYSTEM
  ibrav = 0, nat = 5, ntyp = 3
/
ATOMIC_SPECIES
Pb 207.20 Pb.upf
Li 6.94 Li.upf
I 126.90 I.upf
ATOMIC_POSITIONS angstrom
Pb 2.628 0.000 0.000
Pb 0.000 2.628 0.000
Li 0.000 0.000 0.000
Pb 0.000 0.000 2.628
I 2.628 2.628 2.628
CELL_PARAMETERS angstrom
5.256 0.000 0.000
0.000 5.256 0.000
0.000 0.000 5.256



No. 4
! CuRe2Hg, single point on PBEsol structure, DFT SCAN; values from VASP
! Magnetization (μB/atom): 0.000
! D(E_F) (states/eV per atom): 0.7341
! Formation enthalpy at 0 K (meV per atom): 752.8
&SYSTEM
  ibrav = 0, nat = 4, ntyp = 3
/
ATOMIC_SPECIES
Hg 200.59 Hg.upf
Cu 63.55 Cu.upf
Re 186.21 Re.upf
ATOMIC_POSITIONS angstrom
Hg -1.344 -0.920 3.316
Cu 0.365 -1.964 1.386
Re -2.702 1.651 3.050
Re -0.716 0.437 0.808
CELL_PARAMETERS angstrom
-1.525 -2.299 -0.107
2.255 -1.630 2.879
-3.418 2.089 3.859



No. 5
! Li17Si12, single point on PBEsol structure, DFT SCAN; values from VASP
! Magnetization (μB/atom): 0.000
! D(E_F) (states/eV per atom): 0.1513
! Raw formation energy (kJ/mol of formula units): -582
&SYSTEM
  ibrav = 0, nat = 29, ntyp = 2
/
ATOMIC_SPECIES
Si 28.09 Si.upf
Li 6.94 Li.upf
ATOMIC_POSITIONS angstrom
Si 5.758 -3.132 2.340
Li 0.361 -2.627 -0.856
Li 2.080 -1.272 4.086
Li 2.615 -4.009 -0.004
Li 0.446 -4.395 1.767
Si -3.596 -5.928 0.607
Si 1.420 -1.931 1.599
Li -2.301 1.033 4.068
Li 0.000 0.000 0.000
Si 4.831 -4.905 1.024
Si -4.408 -0.572 3.876
Si -1.752 1.848 6.478
Si 0.622 2.136 6.595
Si 4.019 0.452 4.292
Li -0.224 -0.374 5.454
Li -1.569 -4.517 -0.211
Si 0.728 -5.840 -0.379
Si -5.043 -4.444 1.806
Li 1.581 1.504 4.260
Li -2.264 -4.274 2.559
Si -1.067 -2.233 1.476
Si -0.096 -0.376 2.855
Li 4.131 -1.111 2.148
Li 2.123 0.741 1.645
Li -2.103 -1.780 3.879
Li -2.388 0.193 1.422
Li 2.959 -3.640 2.817
Li 0.187 -3.293 4.303
Li -3.935 -2.090 1.749
CELL_PARAMETERS angstrom
-7.035 0.570 4.189
1.064 -7.738 -2.521
6.254 2.183 4.846



No. 6
! La2AgHg, single point on PBEsol structure, DFT SCAN; values from VASP
! Magnetization (μB/atom): 0.050
! D(E_F) (states/eV per atom): 0.7915
! Formation enthalpy at 0 K (meV per atom): -423.0
&SYSTEM
  ibrav = 0, nat = 4, ntyp = 3
/
ATOMIC_SPECIES
La 138.91 La.upf
Ag 107.87 Ag.upf
Hg 200.59 Hg.upf
ATOMIC_POSITIONS angstrom
La 1.961 2.477 5.243
Ag 1.961 2.477 0.251
Hg 0.000 2.477 2.362
La 1.961 0.000 2.968
CELL_PARAMETERS angstrom
3.921 0.000 0.000
0.000 4.954 0.000
-1.961 -2.477 5.412